A geometry-optimized AgHgPb2 structure. Source: the Alexandria database, functional GGA-PBE.

a = 7.515 Å, b = 7.515 Å, c = 7.515 Å
α = 90.00°, β = 90.00°, γ = 90.00°
Atoms (fractional coordinates):
Ag: 0.000 0.000 0.000
Ag: 0.000 0.500 0.500
Ag: 0.500 0.000 0.500
Ag: 0.500 0.500 0.000
Hg: 0.250 0.250 0.750
Hg: 0.250 0.750 0.250
Hg: 0.750 0.250 0.250
Hg: 0.750 0.750 0.750
Pb: 0.000 0.000 0.500
Pb: 0.000 0.500 0.000
Pb: 0.250 0.250 0.250
Pb: 0.250 0.750 0.750
Pb: 0.500 0.000 0.000
Pb: 0.500 0.500 0.500
Pb: 0.750 0.250 0.750
Pb: 0.750 0.750 0.250

Computed properties:
Total magnetic moment = 0.000 μB per atom
Symmetry = No. 216
Formation energy from the elements = 0.1623 eV per atom

A geometry-optimized AgHgPb2 structure. Source: the Alexandria database, functional GGA-PBE.

a = 3.348 Å, b = 3.348 Å, c = 33.157 Å
α = 90.00°, β = 90.00°, γ = 120.00°
Atoms (fractional coordinates):
Ag: 0.000 0.000 0.000
Ag: 0.333 0.667 0.667
Ag: 0.667 0.333 0.333
Hg: 0.000 0.000 0.500
Hg: 0.333 0.667 0.167
Hg: 0.667 0.333 0.833
Pb: 0.000 0.000 0.258
Pb: 0.000 0.000 0.742
Pb: 0.333 0.667 0.408
Pb: 0.333 0.667 0.925
Pb: 0.667 0.333 0.075
Pb: 0.667 0.333 0.592

Computed properties:
Total magnetic moment = 0.000 μB per atom
Symmetry = No. 166
Formation energy from the elements = 0.0631 eV per atom

A geometry-optimized Ag2HgPb structure. Source: the Alexandria database, functional GGA-PBE.

a = 4.589 Å, b = 4.589 Å, c = 8.504 Å
α = 90.00°, β = 90.00°, γ = 90.00°
Atoms (fractional coordinates):
Ag: 0.000 0.500 0.250
Ag: 0.000 0.500 0.750
Ag: 0.500 0.000 0.250
Ag: 0.500 0.000 0.750
Hg: 0.000 0.000 0.000
Hg: 0.500 0.500 0.500
Pb: 0.000 0.000 0.500
Pb: 0.500 0.500 0.000

Computed properties:
Total magnetic moment = 0.000 μB per atom
Symmetry = No. 139
Formation energy from the elements = 0.1185 eV per atom